This record from Alexandria via LeMat-Bulk describes a crystal of TeRuN2O relaxed with PBEsol. The functional is meta-GGA SCAN.

```
5
Lattice="3.876 0.000 0.000 0.000 3.989 0.000 0.000 0.000 3.989" Properties=species:S:1:pos:R:3 pbc="T T T"
Ru 1.938 1.995 1.995
Te 0.000 0.000 0.000
O 1.938 0.000 0.000
N 0.000 0.000 1.995
N 0.000 1.995 0.000
```

Calculated values
The calculation puts the volume at 61.7 Å³/cell. The value obtained for the total energy is -18.06 eV per atom. The uncorrected formation energy is 127 kJ/mol of atoms.